A geometry-optimized V3Rh4O12 structure. Source: Alexandria via LeMat-Bulk, functional PBE+U.

The structure in CIF format:
```
data_V3Rh4O12
_symmetry_space_group_name_H-M 'P 1'
_symmetry_Int_Tables_number 1
_cell_length_a 6.5569
_cell_length_b 6.5569
_cell_length_c 6.5569
_cell_angle_alpha 109.47
_cell_angle_beta 109.47
_cell_angle_gamma 109.47
loop_
_symmetry_equiv_pos_as_xyz
'x,y,z'
loop_
_atom_site_label
_atom_site_type_symbol
_atom_site_fract_x
_atom_site_fract_y
_atom_site_fract_z
Rh1 Rh 0.0000 0.5000 0.0000
O1 O 0.8118 0.3210 0.1329
O2 O 0.5092 0.1882 0.3210
O3 O 0.8671 0.1882 0.6790
Rh2 Rh 0.5000 0.5000 0.5000
O4 O 0.3210 0.1329 0.8118
O5 O 0.6790 0.8671 0.1882
O6 O 0.4908 0.8118 0.6790
O7 O 0.6790 0.4908 0.8118
V1 V 0.0000 0.5000 0.5000
Rh3 Rh 0.5000 0.0000 0.0000
V2 V 0.5000 0.0000 0.5000
O8 O 0.1882 0.3210 0.5092
V3 V 0.5000 0.5000 0.0000
O9 O 0.8118 0.6790 0.4908
O10 O 0.3210 0.5092 0.1882
Rh4 Rh 0.0000 0.0000 0.5000
O11 O 0.1329 0.8118 0.3210
O12 O 0.1882 0.6790 0.8671
```

Output
space group: Im-3 (204)
volume: 11.42 Å³/atom
total energy: -6.9588 eV/atom